Record 1
Compound: CrHgI4
Source: Alexandria via LeMat-Bulk
Functional: PBE
Structure: optimized geometry

CIF file:
```
data_CrHgI4
_chemical_formula_sum 'Cr1 Hg1 I4'
_cell_length_a 8.2352
_cell_length_b 8.2352
_cell_length_c 7.4388
_cell_angle_alpha 113.44
_cell_angle_beta 113.44
_cell_angle_gamma 29.91
_symmetry_space_group_name_H-M 'P 1'
_symmetry_Int_Tables_number 1
loop_
_symmetry_equiv_pos_as_xyz
'x,y,z'
loop_
_atom_site_label
_atom_site_type_symbol
_atom_site_fract_x
_atom_site_fract_y
_atom_site_fract_z
_atom_site_occupancy
Cr1 Cr 0.0000 0.0000 0.0000 1
Hg1 Hg 0.5000 0.5000 0.5000 1
I1 I 0.1150 0.1150 0.8075 1
I2 I 0.3877 0.3877 0.7496 1
I3 I 0.6123 0.6123 0.2504 1
I4 I 0.8850 0.8850 0.1925 1
```


Record 2
Compound: Cr2HgI
Source: Alexandria via LeMat-Bulk
Functional: PBE
Structure: optimized geometry

Energy relative to the lowest polymorph listed for this composition: 13 meV per atom

CIF file:
```
data_Cr2HgI
_chemical_formula_sum 'Cr2 Hg1 I1'
_cell_length_a 5.0590
_cell_length_b 5.0590
_cell_length_c 5.0590
_cell_angle_alpha 60.00
_cell_angle_beta 60.00
_cell_angle_gamma 60.00
_symmetry_space_group_name_H-M 'P 1'
_symmetry_Int_Tables_number 1
loop_
_symmetry_equiv_pos_as_xyz
'x,y,z'
loop_
_atom_site_label
_atom_site_type_symbol
_atom_site_fract_x
_atom_site_fract_y
_atom_site_fract_z
_atom_site_occupancy
Cr1 Cr 0.2500 0.2500 0.2500 1
Cr2 Cr 0.7500 0.7500 0.7500 1
Hg1 Hg 0.0000 0.0000 0.0000 1
I1 I 0.5000 0.5000 0.5000 1
```


Record 3
Compound: CrHgI2
Source: Alexandria via LeMat-Bulk
Functional: PBE
Structure: optimized geometry

Energy relative to the lowest polymorph listed for this composition: 98 meV per atom

CIF file:
```
data_CrHgI2
_chemical_formula_sum 'Cr2 Hg2 I4'
_cell_length_a 7.2654
_cell_length_b 7.2654
_cell_length_c 7.2654
_cell_angle_alpha 105.23
_cell_angle_beta 105.23
_cell_angle_gamma 118.33
_symmetry_space_group_name_H-M 'P 1'
_symmetry_Int_Tables_number 1
loop_
_symmetry_equiv_pos_as_xyz
'x,y,z'
loop_
_atom_site_label
_atom_site_type_symbol
_atom_site_fract_x
_atom_site_fract_y
_atom_site_fract_z
_atom_site_occupancy
Cr1 Cr 0.0000 0.0000 0.0000 1
Cr2 Cr 0.7500 0.2500 0.5000 1
Hg1 Hg 0.2500 0.7500 0.5000 1
Hg2 Hg 0.5000 0.5000 0.0000 1
I1 I 0.0237 0.6250 0.8987 1
I2 I 0.3750 0.2737 0.3987 1
I3 I 0.7263 0.1250 0.1013 1
I4 I 0.8750 0.9763 0.6013 1
```


Record 4
Compound: CrHgI2
Source: Alexandria via LeMat-Bulk
Functional: PBE
Structure: optimized geometry

Energy relative to the lowest polymorph listed for this composition: 0 meV per atom

CIF file:
```
data_CrHgI2
_chemical_formula_sum 'Cr1 Hg1 I2'
_cell_length_a 11.6991
_cell_length_b 11.6991
_cell_length_c 11.6991
_cell_angle_alpha 20.03
_cell_angle_beta 20.03
_cell_angle_gamma 20.03
_symmetry_space_group_name_H-M 'P 1'
_symmetry_Int_Tables_number 1
loop_
_symmetry_equiv_pos_as_xyz
'x,y,z'
loop_
_atom_site_label
_atom_site_type_symbol
_atom_site_fract_x
_atom_site_fract_y
_atom_site_fract_z
_atom_site_occupancy
Cr1 Cr 0.0000 0.0000 0.0000 1
Hg1 Hg 0.5000 0.5000 0.5000 1
I1 I 0.3806 0.3806 0.3806 1
I2 I 0.6194 0.6194 0.6194 1
```


Record 5
Compound: Cr2HgI
Source: Alexandria via LeMat-Bulk
Functional: PBE
Structure: optimized geometry

Energy relative to the lowest polymorph listed for this composition: 0 meV per atom

CIF file:
```
data_Cr2HgI
_chemical_formula_sum 'Cr4 Hg2 I2'
_cell_length_a 9.6577
_cell_length_b 9.6577
_cell_length_c 9.6577
_cell_angle_alpha 150.02
_cell_angle_beta 150.02
_cell_angle_gamma 42.91
_symmetry_space_group_name_H-M 'P 1'
_symmetry_Int_Tables_number 1
loop_
_symmetry_equiv_pos_as_xyz
'x,y,z'
loop_
_atom_site_label
_atom_site_type_symbol
_atom_site_fract_x
_atom_site_fract_y
_atom_site_fract_z
_atom_site_occupancy
Cr1 Cr 0.1033 0.6250 0.9783 1
Cr2 Cr 0.3750 0.3533 0.4783 1
Cr3 Cr 0.6467 0.1250 0.0217 1
Cr4 Cr 0.8750 0.8967 0.5217 1
Hg1 Hg 0.0000 0.0000 0.0000 1
Hg2 Hg 0.7500 0.2500 0.5000 1
I1 I 0.2500 0.7500 0.5000 1
I2 I 0.5000 0.5000 0.0000 1
```


Record 6
Compound: CrHg3I
Source: Alexandria via LeMat-Bulk
Functional: PBE
Structure: optimized geometry

Energy relative to the lowest polymorph listed for this composition: 0 meV per atom

CIF file:
```
data_CrHg3I
_chemical_formula_sum 'Cr1 Hg3 I1'
_cell_length_a 5.4785
_cell_length_b 5.4785
_cell_length_c 5.4785
_cell_angle_alpha 90.00
_cell_angle_beta 90.00
_cell_angle_gamma 90.00
_symmetry_space_group_name_H-M 'P 1'
_symmetry_Int_Tables_number 1
loop_
_symmetry_equiv_pos_as_xyz
'x,y,z'
loop_
_atom_site_label
_atom_site_type_symbol
_atom_site_fract_x
_atom_site_fract_y
_atom_site_fract_z
_atom_site_occupancy
Cr1 Cr 0.0000 0.0000 0.0000 1
Hg1 Hg 0.0000 0.0000 0.5000 1
Hg2 Hg 0.0000 0.5000 0.0000 1
Hg3 Hg 0.5000 0.0000 0.0000 1
I1 I 0.5000 0.5000 0.5000 1
```


Record 7
Compound: CrHgI2
Source: Alexandria via LeMat-Bulk
Functional: PBE
Structure: optimized geometry

Energy relative to the lowest polymorph listed for this composition: 501 meV per atom

CIF file:
```
data_CrHgI2
_chemical_formula_sum 'Cr1 Hg1 I2'
_cell_length_a 5.5009
_cell_length_b 5.5009
_cell_length_c 5.5009
_cell_angle_alpha 60.00
_cell_angle_beta 60.00
_cell_angle_gamma 60.00
_symmetry_space_group_name_H-M 'P 1'
_symmetry_Int_Tables_number 1
loop_
_symmetry_equiv_pos_as_xyz
'x,y,z'
loop_
_atom_site_label
_atom_site_type_symbol
_atom_site_fract_x
_atom_site_fract_y
_atom_site_fract_z
_atom_site_occupancy
Cr1 Cr 0.0000 0.0000 0.0000 1
Hg1 Hg 0.5000 0.5000 0.5000 1
I1 I 0.2500 0.2500 0.2500 1
I2 I 0.7500 0.7500 0.7500 1
```


Mass density: 5.51; 7.83; 5.80; 5.12; 6.39; 7.88; 7.14 (Mg/m³)
Formation energy from raw total energies: -0.247; 0.779; -0.077; -0.175; 0.765; 0.229; 0.326 (eV per atom)